Material: K8AuI6
Method: DFT, PBE
State: relaxed

Unit cell a=12.7752 b=12.7752 c=5.1442 alpha=90.00 beta=90.00 gamma=120.00
Fractional positions:
1 K 0.0185 0.7432 0.2577
2 K 0.2568 0.2753 0.2577
3 K 0.2753 0.0185 0.7423
4 K 0.3333 0.6667 0.7443
5 K 0.6667 0.3333 0.2557
6 K 0.7247 0.9815 0.2577
7 K 0.7432 0.7247 0.7423
8 K 0.9815 0.2568 0.7423
9 Au 0.0000 0.0000 0.5000
10 I 0.1311 0.4572 0.2435
11 I 0.3260 0.8689 0.2435
12 I 0.4572 0.3260 0.7565
13 I 0.5428 0.6740 0.2435
14 I 0.6740 0.1311 0.7565
15 I 0.8689 0.5428 0.7565

Symmetry = P-3, No. 147
E_tot = -0.186 Ry per atom
ΔE_f (raw) = -1107 meV per atom
Crystal system = trigonal

Material: K2AuI6
Method: DFT, PBE
State: relaxed

Unit cell a=7.6777 b=10.2989 c=12.0048 alpha=90.00 beta=120.26 gamma=90.00
Fractional positions:
1 K 0.2010 0.1137 0.2650
2 K 0.2010 0.3863 0.7650
3 K 0.7990 0.6137 0.2350
4 K 0.7990 0.8863 0.7350
5 Au 0.5000 0.0000 0.0000
6 Au 0.5000 0.5000 0.5000
7 I 0.1622 0.1250 0.9411
8 I 0.1622 0.3750 0.4411
9 I 0.2546 0.6702 0.9703
10 I 0.2546 0.8298 0.4703
11 I 0.3281 0.5859 0.2392
12 I 0.3281 0.9141 0.7392
13 I 0.6719 0.0859 0.2608
14 I 0.6719 0.4141 0.7608
15 I 0.7454 0.1702 0.5297
16 I 0.7454 0.3298 0.0297
17 I 0.8378 0.6250 0.5589
18 I 0.8378 0.8750 0.0589

Symmetry = P2_1/c, No. 14
E_tot = -0.167 Ry per atom
ΔE_f (raw) = -626 meV per atom
Crystal system = monoclinic
Energy above the lowest structure with this stoichiometry = 0.00 eV per formula unit

Material: KAuI4
Method: DFT, PBE
State: relaxed

Unit cell a=10.3197 b=7.1245 c=14.2213 alpha=90.00 beta=102.22 gamma=90.00
Fractional positions:
1 K 0.2031 0.0637 0.1871
2 K 0.2031 0.4363 0.6871
3 K 0.7969 0.5637 0.3129
4 K 0.7969 0.9363 0.8129
5 Au 0.0000 0.0000 0.5000
6 Au 0.0000 0.5000 0.0000
7 Au 0.5000 0.0000 0.5000
8 Au 0.5000 0.5000 0.0000
9 I 0.0824 0.5730 0.1886
10 I 0.0824 0.9270 0.6886
11 I 0.1417 0.7049 0.4590
12 I 0.1417 0.7951 0.9590
13 I 0.3556 0.2115 0.9140
14 I 0.3556 0.2885 0.4140
15 I 0.4920 0.1454 0.6722
16 I 0.4920 0.3546 0.1722
17 I 0.5080 0.6454 0.8278
18 I 0.5080 0.8546 0.3278
19 I 0.6444 0.7115 0.5860
20 I 0.6444 0.7885 0.0860
21 I 0.8583 0.2049 0.0410
22 I 0.8583 0.2951 0.5410
23 I 0.9176 0.0730 0.3114
24 I 0.9176 0.4270 0.8114

Symmetry = P2_1/c, No. 14
E_tot = -0.169 Ry per atom
ΔE_f (raw) = -534 meV per atom
Crystal system = monoclinic

Material: KAu2I
Method: DFT, PBE
State: relaxed

Unit cell a=5.3605 b=5.3605 c=5.3605 alpha=60.00 beta=60.00 gamma=60.00
Fractional positions:
1 K 0.0000 0.0000 0.0000
2 Au 0.2500 0.2500 0.2500
3 Au 0.7500 0.7500 0.7500
4 I 0.5000 0.5000 0.5000

Symmetry = Fm-3m, No. 225
E_tot = -0.161 Ry per atom
ΔE_f (raw) = 106 meV per atom
Crystal system = cubic
Energy above the lowest structure with this stoichiometry = 1.32 eV per formula unit

Material: K2AuI2
Method: DFT, PBE
State: relaxed

Unit cell a=9.0350 b=9.0350 c=4.6848 alpha=90.00 beta=90.00 gamma=90.00
Fractional positions:
1 K 0.1491 0.3509 0.0000
2 K 0.3509 0.8509 0.0000
3 K 0.6491 0.1491 0.0000
4 K 0.8509 0.6491 0.0000
5 Au 0.0000 0.0000 0.5000
6 Au 0.5000 0.5000 0.5000
7 I 0.1623 0.6623 0.5000
8 I 0.3377 0.1623 0.5000
9 I 0.6623 0.8377 0.5000
10 I 0.8377 0.3377 0.5000

Symmetry = P4/mbm, No. 127
E_tot = -0.181 Ry per atom
ΔE_f (raw) = -754 meV per atom
Crystal system = tetragonal
Energy above the lowest structure with this stoichiometry = 0.00 eV per formula unit

Material: K4AuI2
Method: DFT, PBE
State: relaxed

Unit cell a=9.6388 b=9.6388 c=8.5233 alpha=115.19 beta=115.19 gamma=28.90
Fractional positions:
1 K 0.1181 0.1181 0.4397
2 K 0.3778 0.3778 0.0318
3 K 0.6222 0.6222 0.9682
4 K 0.8819 0.8819 0.5603
5 Au 0.0000 0.0000 0.0000
6 I 0.2594 0.2594 0.2607
7 I 0.7406 0.7406 0.7393

Symmetry = C2/m, No. 12
E_tot = -0.177 Ry per atom
ΔE_f (raw) = -875 meV per atom
Crystal system = monoclinic
Energy above the lowest structure with this stoichiometry = 0.00 eV per formula unit

Material: K4AuI2
Method: DFT, PBE
State: relaxed

Unit cell a=10.0834 b=10.0834 c=10.0834 alpha=143.68 beta=143.68 gamma=52.31
Fractional positions:
1 K 0.0000 0.5000 0.5000
2 K 0.1875 0.1875 0.0000
3 K 0.5000 0.0000 0.5000
4 K 0.8125 0.8125 0.0000
5 Au 0.0000 0.0000 0.0000
6 I 0.3778 0.3778 0.0000
7 I 0.6222 0.6222 0.0000

Symmetry = I4/mmm, No. 139
E_tot = -0.172 Ry per atom
ΔE_f (raw) = -798 meV per atom
Crystal system = tetragonal
Energy above the lowest structure with this stoichiometry = 0.54 eV per formula unit

Material: K2AuI
Method: DFT, PBE
State: relaxed

Unit cell a=4.1907 b=4.1907 c=8.3261 alpha=90.00 beta=90.00 gamma=90.00
Fractional positions:
1 K 0.0000 0.0000 0.2425
2 K 0.0000 0.0000 0.7575
3 Au 0.5000 0.5000 0.0000
4 I 0.5000 0.5000 0.5000

Symmetry = P4/mmm, No. 123
E_tot = -0.190 Ry per atom
ΔE_f (raw) = -834 meV per atom
Crystal system = tetragonal
Energy above the lowest structure with this stoichiometry = 0.14 eV per formula unit

Material: K2Au3I8
Method: DFT, PBE
State: relaxed

Unit cell a=8.9945 b=8.9945 c=8.1352 alpha=101.44 beta=101.44 gamma=63.36
Fractional positions:
1 K 0.2134 0.2134 0.0851
2 K 0.7866 0.7866 0.9149
3 Au 0.2047 0.7953 0.5000
4 Au 0.5000 0.5000 0.0000
5 Au 0.7953 0.2047 0.5000
6 I 0.1358 0.1358 0.4615
7 I 0.1996 0.6419 0.1804
8 I 0.3399 0.3399 0.7659
9 I 0.3581 0.8004 0.8196
10 I 0.6419 0.1996 0.1804
11 I 0.6601 0.6601 0.2341
12 I 0.8004 0.3581 0.8196
13 I 0.8642 0.8642 0.5385

Symmetry = C2/m, No. 12
E_tot = -0.168 Ry per atom
ΔE_f (raw) = -407 meV per atom
Crystal system = monoclinic

Material: K2AuI5
Method: DFT, PBE
State: relaxed

Unit cell a=7.6541 b=7.6541 c=7.6541 alpha=111.00 beta=111.00 gamma=106.46
Fractional positions:
1 K 0.0000 0.5000 0.5000
2 K 0.5000 0.0000 0.5000
3 Au 0.2399 0.2399 0.0000
4 I 0.0312 0.0312 0.5568
5 I 0.0312 0.4744 0.0000
6 I 0.4744 0.0312 0.0000
7 I 0.4744 0.4744 0.4432
8 I 0.8188 0.8188 0.0000

Symmetry = I4mm, No. 107
E_tot = -0.177 Ry per atom
ΔE_f (raw) = -752 meV per atom
Crystal system = tetragonal
Energy above the lowest structure with this stoichiometry = 0.10 eV per formula unit

Material: KAuI
Method: DFT, PBE
State: relaxed

Unit cell a=5.4618 b=5.5221 c=8.6812 alpha=89.12 beta=88.40 gamma=75.94
Fractional positions:
1 K 0.2173 0.2258 0.2591
2 K 0.7827 0.7742 0.7409
3 Au 0.3981 0.3948 0.6085
4 Au 0.6019 0.6052 0.3915
5 I 0.1795 0.1750 0.8345
6 I 0.8205 0.8250 0.1655

Symmetry = P-1, No. 2
E_tot = -0.199 Ry per atom
ΔE_f (raw) = -736 meV per atom
Crystal system = triclinic

Material: KAu2I7
Method: DFT, PBE
State: relaxed

Unit cell a=11.2177 b=11.2177 c=4.7573 alpha=90.00 beta=90.00 gamma=133.31
Fractional positions:
1 K 0.0000 0.0000 0.0000
2 Au 0.3631 0.6369 0.5000
3 Au 0.6369 0.3631 0.5000
4 I 0.0473 0.2840 0.5000
5 I 0.2840 0.0473 0.5000
6 I 0.2991 0.7009 0.0000
7 I 0.5000 0.5000 0.5000
8 I 0.7009 0.2991 0.0000
9 I 0.7160 0.9527 0.5000
10 I 0.9527 0.7160 0.5000

Symmetry = Cmmm, No. 65
E_tot = -0.154 Ry per atom
ΔE_f (raw) = -247 meV per atom
Crystal system = orthorhombic

Material: K12Au5I3
Method: DFT, PBE
State: relaxed

Unit cell a=17.4520 b=17.4520 c=17.4520 alpha=109.47 beta=109.47 gamma=109.47
Fractional positions:
1 K 0.0409 0.2158 0.1217
2 K 0.0409 0.3251 0.9192
3 K 0.0808 0.6217 0.4059
4 K 0.0808 0.9591 0.6749
5 K 0.0941 0.7158 0.6749
6 K 0.0941 0.8783 0.4192
7 K 0.1217 0.0409 0.2158
8 K 0.1217 0.5808 0.9059
9 K 0.1749 0.2158 0.5941
10 K 0.1749 0.4591 0.5808
11 K 0.2158 0.1217 0.0409
12 K 0.2158 0.5941 0.1749
13 K 0.2842 0.3251 0.9059
14 K 0.2842 0.4591 0.3783
15 K 0.3251 0.9059 0.2842
16 K 0.3251 0.9192 0.0409
17 K 0.3783 0.2842 0.4591
18 K 0.3783 0.5941 0.9192
19 K 0.4059 0.0808 0.6217
20 K 0.4059 0.8251 0.7842
21 K 0.4192 0.0941 0.8783
22 K 0.4192 0.8251 0.5409
23 K 0.4591 0.3783 0.2842
24 K 0.4591 0.5808 0.1749
25 K 0.5409 0.4192 0.8251
26 K 0.5409 0.6217 0.7158
27 K 0.5808 0.1749 0.4591
28 K 0.5808 0.9059 0.1217
29 K 0.5941 0.1749 0.2158
30 K 0.5941 0.9192 0.3783
31 K 0.6217 0.4059 0.0808
32 K 0.6217 0.7158 0.5409
33 K 0.6749 0.0808 0.9591
34 K 0.6749 0.0941 0.7158
35 K 0.7158 0.5409 0.6217
36 K 0.7158 0.6749 0.0941
37 K 0.7842 0.4059 0.8251
38 K 0.7842 0.8783 0.9591
39 K 0.8251 0.5409 0.4192
40 K 0.8251 0.7842 0.4059
41 K 0.8783 0.4192 0.0941
42 K 0.8783 0.9591 0.7842
43 K 0.9059 0.1217 0.5808
44 K 0.9059 0.2842 0.3251
45 K 0.9192 0.0409 0.3251
46 K 0.9192 0.3783 0.5941
47 K 0.9591 0.6749 0.0808
48 K 0.9591 0.7842 0.8783
49 Au 0.0000 0.0000 0.0000
50 Au 0.0000 0.0000 0.5000
51 Au 0.0000 0.5000 0.0000
52 Au 0.0000 0.5000 0.5000
53 Au 0.1250 0.7500 0.8750
54 Au 0.1250 0.8750 0.2500
55 Au 0.2500 0.1250 0.8750
56 Au 0.2500 0.6250 0.3750
57 Au 0.3750 0.2500 0.6250
58 Au 0.3750 0.6250 0.7500
59 Au 0.5000 0.0000 0.0000
60 Au 0.5000 0.0000 0.5000
61 Au 0.5000 0.5000 0.0000
62 Au 0.5000 0.5000 0.5000
63 Au 0.6250 0.3750 0.2500
64 Au 0.6250 0.7500 0.3750
65 Au 0.7500 0.3750 0.6250
66 Au 0.7500 0.8750 0.1250
67 Au 0.8750 0.1250 0.7500
68 Au 0.8750 0.2500 0.1250
69 I 0.1250 0.2500 0.3750
70 I 0.1250 0.3750 0.7500
71 I 0.2500 0.3750 0.1250
72 I 0.2500 0.8750 0.6250
73 I 0.3750 0.1250 0.2500
74 I 0.3750 0.7500 0.1250
75 I 0.6250 0.2500 0.8750
76 I 0.6250 0.8750 0.7500
77 I 0.7500 0.1250 0.3750
78 I 0.7500 0.6250 0.8750
79 I 0.8750 0.6250 0.2500
80 I 0.8750 0.7500 0.6250

Symmetry = Ia-3d, No. 230
E_tot = -0.161 Ry per atom
ΔE_f (raw) = -475 meV per atom
Crystal system = cubic

Material: KAuI4
Method: DFT, PBE
State: relaxed

Unit cell a=8.0359 b=5.6239 c=14.3059 alpha=90.00 beta=123.46 gamma=90.00
Fractional positions:
1 K 0.0000 0.0000 0.0000
2 K 0.0000 0.5000 0.5000
3 Au 0.5000 0.0000 0.5000
4 Au 0.5000 0.5000 0.0000
5 I 0.1019 0.0082 0.3807
6 I 0.1019 0.4918 0.8807
7 I 0.4853 0.7252 0.3414
8 I 0.4853 0.7748 0.8414
9 I 0.5147 0.2252 0.1586
10 I 0.5147 0.2748 0.6586
11 I 0.8981 0.5082 0.1193
12 I 0.8981 0.9918 0.6193

Symmetry = P2_1/c, No. 14
E_tot = -0.168 Ry per atom
ΔE_f (raw) = -529 meV per atom
Crystal system = monoclinic

Material: K2AuI
Method: DFT, PBE
State: relaxed

Unit cell a=8.5871 b=8.5871 c=8.5871 alpha=33.38 beta=33.38 gamma=33.38
Fractional positions:
1 K 0.2469 0.2469 0.2469
2 K 0.7531 0.7531 0.7531
3 Au 0.5000 0.5000 0.5000
4 I 0.0000 0.0000 0.0000

Symmetry = R-3m, No. 166
E_tot = -0.193 Ry per atom
ΔE_f (raw) = -865 meV per atom
Crystal system = trigonal
Energy above the lowest structure with this stoichiometry = 0.02 eV per formula unit

Material: KAuI5
Method: DFT, PBE
State: relaxed

Unit cell a=8.0814 b=8.0814 c=11.3623 alpha=108.59 beta=108.59 gamma=72.11
Fractional positions:
1 K 0.2028 0.7972 0.7500
2 K 0.7972 0.2028 0.2500
3 Au 0.5000 0.5000 0.0000
4 Au 0.5000 0.5000 0.5000
5 I 0.1251 0.8633 0.4385
6 I 0.1367 0.8749 0.0615
7 I 0.2595 0.3020 0.8913
8 I 0.3020 0.2595 0.3913
9 I 0.4176 0.5824 0.2500
10 I 0.5824 0.4176 0.7500
11 I 0.6980 0.7405 0.6087
12 I 0.7405 0.6980 0.1087
13 I 0.8633 0.1251 0.9385
14 I 0.8749 0.1367 0.5615

Symmetry = C2/c, No. 15
E_tot = -0.153 Ry per atom
ΔE_f (raw) = -354 meV per atom
Crystal system = monoclinic
Energy above the lowest structure with this stoichiometry = 0.37 eV per formula unit

Material: K2AuI2
Method: DFT, PBE
State: relaxed

Unit cell a=6.8185 b=6.8185 c=6.8185 alpha=119.96 beta=119.96 gamma=90.07
Fractional positions:
1 K 0.2500 0.7500 0.5000
2 K 0.7500 0.2500 0.5000
3 Au 0.0000 0.0000 0.0000
4 I 0.3096 0.3096 0.0000
5 I 0.6904 0.6904 0.0000

Symmetry = I4/mmm, No. 139
E_tot = -0.180 Ry per atom
ΔE_f (raw) = -735 meV per atom
Crystal system = tetragonal
Energy above the lowest structure with this stoichiometry = 0.10 eV per formula unit

Material: K6AuI5
Method: DFT, PBE
State: relaxed

Unit cell a=8.7105 b=8.7105 c=8.7005 alpha=99.60 beta=99.60 gamma=119.91
Fractional positions:
1 K 0.0825 0.4099 0.7472
2 K 0.2451 0.2451 0.2539
3 K 0.4099 0.0825 0.7472
4 K 0.5901 0.9175 0.2528
5 K 0.7549 0.7549 0.7461
6 K 0.9175 0.5901 0.2528
7 Au 0.0000 0.0000 0.5000
8 I 0.1672 0.8328 0.0000
9 I 0.3331 0.6669 0.5000
10 I 0.5000 0.5000 0.0000
11 I 0.6669 0.3331 0.5000
12 I 0.8328 0.1672 0.0000

Symmetry = C2/m, No. 12
E_tot = -0.202 Ry per atom
ΔE_f (raw) = -1276 meV per atom
Crystal system = monoclinic

Material: K5Au4I
Method: DFT, PBE
State: relaxed

Unit cell a=6.8756 b=8.3878 c=8.4015 alpha=80.36 beta=66.28 gamma=65.86
Fractional positions:
1 K 0.0000 0.0000 0.0000
2 K 0.1937 0.4092 0.2040
3 K 0.3991 0.7956 0.4092
4 K 0.6009 0.2044 0.5908
5 K 0.8063 0.5908 0.7960
6 Au 0.1007 0.1983 0.5971
7 Au 0.3002 0.5973 0.8018
8 Au 0.6998 0.4027 0.1982
9 Au 0.8993 0.8017 0.4029
10 I 0.5000 0.0000 0.0000

Symmetry = P-1, No. 2
E_tot = -0.185 Ry per atom
ΔE_f (raw) = -496 meV per atom
Crystal system = triclinic